Record 1
Entry from Alexandria: a geometry-optimized KTaTc2 structure (PBE-GGA).

Crystal system: trigonal
Total magnetization: 0.0000 μB per atom
Formation energy from the elements: 243 kJ/mol of formula units

abc: 9.880 9.880 9.880
angles: 17.92 17.92 17.92
Sites, in units of the cell vectors:
K: 0.000 0.000 0.000
Ta: 0.500 0.500 0.500
Tc: 0.233 0.233 0.233
Tc: 0.767 0.767 0.767

***

Record 2
Entry from Alexandria: a geometry-optimized PmPrHo3Sc structure (PBE-GGA).

Crystal system: orthorhombic
Total magnetization: 0.0000 μB per atom
Formation energy from the elements: 24 kJ/mol of formula units

abc: 7.907 7.907 9.992
angles: 90.00 90.00 143.07
Sites, in units of the cell vectors:
Pm: 0.002 0.998 0.750
Pm: 0.998 0.002 0.250
Pr: 0.500 0.500 0.000
Pr: 0.500 0.500 0.500
Ho: 0.169 0.831 0.000
Ho: 0.169 0.831 0.500
Ho: 0.329 0.671 0.750
Ho: 0.671 0.329 0.250
Ho: 0.831 0.169 0.000
Ho: 0.831 0.169 0.500
Sc: 0.331 0.669 0.250
Sc: 0.669 0.331 0.750

***

Record 3
Entry from Alexandria: a geometry-optimized TcSbPt2 structure (PBE-GGA).

Formation energy (no corrections): 86 meV/atom
Crystal system: tetragonal
Total magnetization: 0.0001 μB per atom

abc: 3.372 3.372 5.965
angles: 90.00 90.00 90.00
Sites, in units of the cell vectors:
Tc: 0.000 0.000 0.000
Sb: 0.500 0.500 0.726
Pt: 0.000 0.000 0.466
Pt: 0.500 0.500 0.222

***

Record 4
Entry from Alexandria: a geometry-optimized Ba2HfCuSe5 structure (PBE-GGA).

Formation energy (no corrections): -1362 meV/atom
Crystal system: orthorhombic
Total magnetization: 0.0000 μB per atom

abc: 9.686 9.686 13.083
angles: 90.00 90.00 155.54
Sites, in units of the cell vectors:
Ba: 0.120 0.880 0.500
Ba: 0.123 0.877 0.129
Ba: 0.877 0.123 0.629
Ba: 0.880 0.120 0.000
Hf: 0.199 0.801 0.823
Hf: 0.801 0.199 0.323
Cu: 0.431 0.569 0.242
Cu: 0.569 0.431 0.742
Se: 0.056 0.944 0.839
Se: 0.297 0.703 0.460
Se: 0.303 0.697 0.182
Se: 0.339 0.661 0.816
Se: 0.497 0.503 0.086
Se: 0.503 0.497 0.586
Se: 0.661 0.339 0.316
Se: 0.697 0.303 0.682
Se: 0.703 0.297 0.960
Se: 0.944 0.056 0.339